Record 1
# Ta2AsRu GGA-PBE relaxed
# crystal system	tetragonal
# theoretical density	13.54	g/cm³
# formation energy from the elements	-163	meV/atom
# spin magnetization	0.00	μB per formula unit
# D(E_F)	1.76	states/eV per cell
data_Ta2AsRu
_cell_length_a 2.988
_cell_length_b 2.988
_cell_length_c 7.386
_cell_angle_alpha 90.00
_cell_angle_beta 90.00
_cell_angle_gamma 90.00
_symmetry_space_group_name_H-M 'P 1'
_symmetry_Int_Tables_number 1
loop_
_symmetry_equiv_pos_as_xyz
'x,y,z'
loop_
_atom_site_label
_atom_site_type_symbol
_atom_site_fract_x
_atom_site_fract_y
_atom_site_fract_z
Ta1 Ta 0.000 0.000 0.237
Ta2 Ta 0.000 0.000 0.763
As1 As 0.500 0.500 0.500
Ru1 Ru 0.500 0.500 0.000

---

Record 2
# CaNbC3 GGA-PBE relaxed
# crystal system	cubic
# theoretical density	4.14	g/cm³
# formation energy from the elements	3006	meV/atom
# spin magnetization	0.00	μB per formula unit
# D(E_F)	4.46	states/eV per cell
# offset from the most stable computed form	1.929	eV per atom
data_CaNbC3
_cell_length_a 4.078
_cell_length_b 4.078
_cell_length_c 4.078
_cell_angle_alpha 90.00
_cell_angle_beta 90.00
_cell_angle_gamma 90.00
_symmetry_space_group_name_H-M 'P 1'
_symmetry_Int_Tables_number 1
loop_
_symmetry_equiv_pos_as_xyz
'x,y,z'
loop_
_atom_site_label
_atom_site_type_symbol
_atom_site_fract_x
_atom_site_fract_y
_atom_site_fract_z
Ca1 Ca 0.000 0.000 0.000
Nb1 Nb 0.500 0.500 0.500
C1 C 0.000 0.000 0.500
C2 C 0.000 0.500 0.000
C3 C 0.500 0.000 0.000

---

Record 3
# ErSc2SnC GGA-PBE relaxed
# crystal system	tetragonal
# theoretical density	6.44	g/cm³
# formation energy from the elements	-731	meV/atom
# spin magnetization	0.00	μB per formula unit
# D(E_F)	2.46	states/eV per cell
data_ErSc2SnC
_cell_length_a 4.566
_cell_length_b 4.566
_cell_length_c 4.799
_cell_angle_alpha 90.00
_cell_angle_beta 90.00
_cell_angle_gamma 90.00
_symmetry_space_group_name_H-M 'P 1'
_symmetry_Int_Tables_number 1
loop_
_symmetry_equiv_pos_as_xyz
'x,y,z'
loop_
_atom_site_label
_atom_site_type_symbol
_atom_site_fract_x
_atom_site_fract_y
_atom_site_fract_z
Er1 Er 0.000 0.000 0.000
Sc1 Sc 0.000 0.500 0.500
Sc2 Sc 0.500 0.000 0.500
Sn1 Sn 0.500 0.500 0.000
C1 C 0.000 0.000 0.500

---

Record 4
# SiMoP GGA-PBE relaxed
# formation energy from raw total energies	116	meV/atom
# crystal system	hexagonal
# theoretical density	5.93	g/cm³
# spin magnetization	0.00	μB per formula unit
# D(E_F)	2.18	states/eV per cell
# offset from the most stable computed form	0.489	eV per atom
data_SiMoP
_cell_length_a 4.324
_cell_length_b 4.324
_cell_length_c 2.681
_cell_angle_alpha 90.00
_cell_angle_beta 90.00
_cell_angle_gamma 120.00
_symmetry_space_group_name_H-M 'P 1'
_symmetry_Int_Tables_number 1
loop_
_symmetry_equiv_pos_as_xyz
'x,y,z'
loop_
_atom_site_label
_atom_site_type_symbol
_atom_site_fract_x
_atom_site_fract_y
_atom_site_fract_z
Si1 Si 0.000 0.000 0.000
Mo1 Mo 0.333 0.667 0.500
P1 P 0.667 0.333 0.500

---

Record 5
# CdFe3Co GGA-PBE relaxed
# crystal system	cubic
# theoretical density	5.45	g/cm³
# formation energy from the elements	1999	meV/atom
# spin magnetization	10.77	μB per formula unit
# D(E_F)	9.29	states/eV per cell
data_CdFe3Co
_cell_length_a 4.692
_cell_length_b 4.692
_cell_length_c 4.692
_cell_angle_alpha 90.00
_cell_angle_beta 90.00
_cell_angle_gamma 90.00
_symmetry_space_group_name_H-M 'P 1'
_symmetry_Int_Tables_number 1
loop_
_symmetry_equiv_pos_as_xyz
'x,y,z'
loop_
_atom_site_label
_atom_site_type_symbol
_atom_site_fract_x
_atom_site_fract_y
_atom_site_fract_z
Cd1 Cd 0.000 0.000 0.000
Fe1 Fe 0.000 0.000 0.500
Fe2 Fe 0.000 0.500 0.000
Fe3 Fe 0.500 0.000 0.000
Co1 Co 0.500 0.500 0.500

---

Record 6
# Pm6Sm2HoTh GGA-PBE relaxed
# crystal system	monoclinic
# theoretical density	7.65	g/cm³
# formation energy from the elements	145	meV/atom
# spin magnetization	0.00	μB per formula unit
# D(E_F)	28.72	states/eV per cell
data_Pm6Sm2HoTh
_cell_length_a 8.836
_cell_length_b 8.836
_cell_length_c 9.899
_cell_angle_alpha 94.78
_cell_angle_beta 94.78
_cell_angle_gamma 116.92
_symmetry_space_group_name_H-M 'P 1'
_symmetry_Int_Tables_number 1
loop_
_symmetry_equiv_pos_as_xyz
'x,y,z'
loop_
_atom_site_label
_atom_site_type_symbol
_atom_site_fract_x
_atom_site_fract_y
_atom_site_fract_z
Pm1 Pm 0.014 0.577 0.187
Pm2 Pm 0.112 0.749 0.556
Pm3 Pm 0.251 0.888 0.944
Pm4 Pm 0.298 0.507 0.380
Pm5 Pm 0.423 0.986 0.313
Pm6 Pm 0.493 0.702 0.120
Pm7 Pm 0.507 0.298 0.880
Pm8 Pm 0.577 0.014 0.687
Pm9 Pm 0.702 0.493 0.620
Pm10 Pm 0.749 0.112 0.056
Pm11 Pm 0.888 0.251 0.444
Pm12 Pm 0.986 0.423 0.813
Sm1 Sm 0.197 0.289 0.047
Sm2 Sm 0.289 0.197 0.547
Sm3 Sm 0.711 0.803 0.453
Sm4 Sm 0.803 0.711 0.953
Ho1 Ho 0.407 0.593 0.750
Ho2 Ho 0.593 0.407 0.250
Th1 Th 0.022 0.978 0.250
Th2 Th 0.978 0.022 0.750

---

Record 7
# SrNi2Sb2 GGA-PBE relaxed
# formation energy from raw total energies	-368	meV/atom
# crystal system	tetragonal
# theoretical density	6.90	g/cm³
# spin magnetization	0.00	μB per formula unit
# D(E_F)	2.32	states/eV per cell
data_SrNi2Sb2
_cell_length_a 5.943
_cell_length_b 5.943
_cell_length_c 5.943
_cell_angle_alpha 133.66
_cell_angle_beta 133.66
_cell_angle_gamma 67.62
_symmetry_space_group_name_H-M 'P 1'
_symmetry_Int_Tables_number 1
loop_
_symmetry_equiv_pos_as_xyz
'x,y,z'
loop_
_atom_site_label
_atom_site_type_symbol
_atom_site_fract_x
_atom_site_fract_y
_atom_site_fract_z
Sr1 Sr 0.000 0.000 0.000
Ni1 Ni 0.369 0.369 0.000
Ni2 Ni 0.631 0.631 0.000
Sb1 Sb 0.250 0.750 0.500
Sb2 Sb 0.750 0.250 0.500

---

Record 8
# KNpInI6 GGA-PBE relaxed
# formation energy from raw total energies	-863	meV/atom
# crystal system	tetragonal
# theoretical density	4.17	g/cm³
# spin magnetization	2.99	μB per formula unit
# D(E_F)	7.98	states/eV per cell
data_KNpInI6
_cell_length_a 7.889
_cell_length_b 7.889
_cell_length_c 14.731
_cell_angle_alpha 90.00
_cell_angle_beta 90.00
_cell_angle_gamma 90.00
_symmetry_space_group_name_H-M 'P 1'
_symmetry_Int_Tables_number 1
loop_
_symmetry_equiv_pos_as_xyz
'x,y,z'
loop_
_atom_site_label
_atom_site_type_symbol
_atom_site_fract_x
_atom_site_fract_y
_atom_site_fract_z
K1 K 0.000 0.000 0.000
K2 K 0.500 0.500 0.500
Np1 Np 0.000 0.000 0.335
Np2 Np 0.500 0.500 0.835
In1 In 0.000 0.000 0.667
In2 In 0.500 0.500 0.167
I1 I 0.182 0.182 0.487
I2 I 0.192 0.192 0.191
I3 I 0.230 0.230 0.832
I4 I 0.270 0.730 0.332
I5 I 0.308 0.692 0.691
I6 I 0.318 0.682 0.987
I7 I 0.682 0.318 0.987
I8 I 0.692 0.308 0.691
I9 I 0.730 0.270 0.332
I10 I 0.770 0.770 0.832
I11 I 0.808 0.808 0.191
I12 I 0.818 0.818 0.487

---

Record 9
# Na3ScAl GGA-PBE relaxed
# crystal system	cubic
# theoretical density	1.34	g/cm³
# formation energy from the elements	751	meV/atom
# spin magnetization	0.65	μB per formula unit
# D(E_F)	5.94	states/eV per cell
# offset from the most stable computed form	0.000	eV per atom
data_Na3ScAl
_cell_length_a 5.585
_cell_length_b 5.585
_cell_length_c 5.585
_cell_angle_alpha 90.00
_cell_angle_beta 90.00
_cell_angle_gamma 90.00
_symmetry_space_group_name_H-M 'P 1'
_symmetry_Int_Tables_number 1
loop_
_symmetry_equiv_pos_as_xyz
'x,y,z'
loop_
_atom_site_label
_atom_site_type_symbol
_atom_site_fract_x
_atom_site_fract_y
_atom_site_fract_z
Na1 Na 0.000 0.000 0.500
Na2 Na 0.000 0.500 0.000
Na3 Na 0.500 0.000 0.000
Sc1 Sc 0.500 0.500 0.500
Al1 Al 0.000 0.000 0.000

---

Record 10
# Li3MgSn3 GGA-PBE relaxed
# crystal system	orthorhombic
# theoretical density	4.21	g/cm³
# formation energy from the elements	-249	meV/atom
# spin magnetization	0.00	μB per formula unit
# D(E_F)	3.60	states/eV per cell
# offset from the most stable computed form	0.000	eV per atom
data_Li3MgSn3
_cell_length_a 6.877
_cell_length_b 6.877
_cell_length_c 6.701
_cell_angle_alpha 90.00
_cell_angle_beta 90.00
_cell_angle_gamma 90.66
_symmetry_space_group_name_H-M 'P 1'
_symmetry_Int_Tables_number 1
loop_
_symmetry_equiv_pos_as_xyz
'x,y,z'
loop_
_atom_site_label
_atom_site_type_symbol
_atom_site_fract_x
_atom_site_fract_y
_atom_site_fract_z
Li1 Li 0.235 0.765 0.000
Li2 Li 0.239 0.239 0.000
Li3 Li 0.243 0.243 0.500
Li4 Li 0.757 0.757 0.500
Li5 Li 0.761 0.761 0.000
Li6 Li 0.765 0.235 0.000
Mg1 Mg 0.226 0.774 0.500
Mg2 Mg 0.774 0.226 0.500
Sn1 Sn 0.000 0.500 0.237
Sn2 Sn 0.000 0.500 0.763
Sn3 Sn 0.500 0.000 0.237
Sn4 Sn 0.500 0.000 0.763
Sn5 Sn 0.500 0.500 0.250
Sn6 Sn 0.500 0.500 0.750

---

Record 11
# Nd3NiTe GGA-PBE relaxed
# formation energy from raw total energies	-462	meV/atom
# crystal system	monoclinic
# theoretical density	7.00	g/cm³
# spin magnetization	0.00	μB per formula unit
# D(E_F)	9.31	states/eV per cell
# offset from the most stable computed form	0.227	eV per atom
data_Nd3NiTe
_cell_length_a 5.283
_cell_length_b 5.710
_cell_length_c 9.742
_cell_angle_alpha 90.00
_cell_angle_beta 92.70
_cell_angle_gamma 90.00
_symmetry_space_group_name_H-M 'P 1'
_symmetry_Int_Tables_number 1
loop_
_symmetry_equiv_pos_as_xyz
'x,y,z'
loop_
_atom_site_label
_atom_site_type_symbol
_atom_site_fract_x
_atom_site_fract_y
_atom_site_fract_z
Nd1 Nd 0.007 0.250 0.333
Nd2 Nd 0.029 0.750 0.078
Nd3 Nd 0.467 0.250 0.652
Nd4 Nd 0.533 0.750 0.348
Nd5 Nd 0.971 0.250 0.922
Nd6 Nd 0.993 0.750 0.667
Ni1 Ni 0.038 0.750 0.376
Ni2 Ni 0.962 0.250 0.624
Te1 Te 0.488 0.250 0.134
Te2 Te 0.512 0.750 0.866

---

Record 12
# CeTh5C5 GGA-PBE relaxed
# crystal system	monoclinic
# theoretical density	10.12	g/cm³
# formation energy from the elements	-231	meV/atom
# spin magnetization	0.00	μB per formula unit
# D(E_F)	8.65	states/eV per cell
data_CeTh5C5
_cell_length_a 6.488
_cell_length_b 6.488
_cell_length_c 7.467
_cell_angle_alpha 106.89
_cell_angle_beta 106.89
_cell_angle_gamma 48.56
_symmetry_space_group_name_H-M 'P 1'
_symmetry_Int_Tables_number 1
loop_
_symmetry_equiv_pos_as_xyz
'x,y,z'
loop_
_atom_site_label
_atom_site_type_symbol
_atom_site_fract_x
_atom_site_fract_y
_atom_site_fract_z
Ce1 Ce 0.000 0.000 0.000
Th1 Th 0.000 0.000 0.500
Th2 Th 0.330 0.330 0.159
Th3 Th 0.333 0.333 0.671
Th4 Th 0.667 0.667 0.329
Th5 Th 0.670 0.670 0.841
C1 C 0.162 0.162 0.333
C2 C 0.174 0.174 0.834
C3 C 0.500 0.500 0.000
C4 C 0.826 0.826 0.166
C5 C 0.838 0.838 0.667